PBE+U Fe2Cl3O, relaxed; E_tot = -55.98 eV/cell; symmetry = C2/m, No. 12
1.0
-3.148 1.059 0.345
0.534 -5.785 6.465
3.326 8.782 3.399
Fe O Cl
4 2 6
direct
0.922 0.845 0.254
0.412 0.824 0.541
0.588 0.176 0.459
0.078 0.155 0.746
0.458 0.916 0.368
0.542 0.084 0.632
0.072 0.143 0.259
0.365 0.730 0.074
0.635 0.270 0.926
0.928 0.857 0.741
0.813 0.625 0.381
0.187 0.375 0.619

***

PBE+U FeClO2, relaxed; E_tot = -14.56 eV/cell; ΔE to the lowest computed polymorph = 1414 meV per atom; symmetry = R-3m, No. 166
1.0
-10.092 2.075 1.970
-8.995 3.388 4.199
-9.200 4.730 1.739
Cl O Fe
1 2 1
direct
0.500 0.500 0.500
0.057 0.057 0.057
0.943 0.943 0.943
0.000 0.000 0.000

***

PBE+U Fe2ClO, relaxed; E_tot = -18.38 eV/cell; ΔE to the lowest computed polymorph = 653 meV per atom; symmetry = Fm-3m, No. 225
1.0
-3.128 -1.909 1.961
-1.354 1.447 3.653
-3.719 1.836 0.258
Fe Cl O
2 1 1
direct
0.750 0.750 0.750
0.250 0.250 0.250
0.500 0.500 0.500
0.000 0.000 0.000

***

PBE+U FeCl2O, relaxed; E_tot = -12.36 eV/cell; symmetry = Fm-3m, No. 225
1.0
-2.493 1.655 3.245
-4.009 1.611 -0.900
-3.602 -2.170 1.341
O Cl Fe
1 2 1
direct
0.000 0.000 0.000
0.250 0.250 0.250
0.750 0.750 0.750
0.500 0.500 0.500

***

PBE+U Fe3Cl2O2, relaxed; E_tot = -39.00 eV/cell; symmetry = C2/m, No. 12
1.0
-0.496 0.015 -3.500
4.266 -4.189 -0.622
-5.427 -1.887 2.546
Fe Cl O
3 2 2
direct
0.000 0.000 0.000
0.251 0.704 0.502
0.749 0.296 0.498
0.396 0.189 0.792
0.604 0.811 0.208
0.836 0.696 0.671
0.164 0.304 0.329

***

PBE+U FeCl3O6, relaxed; E_tot = -40.42 eV/cell; symmetry = C2/m, No. 12
1.0
2.512 5.989 0.753
-2.512 5.989 0.753
0.000 2.526 7.076
Fe Cl O
1 3 6
direct
0.000 0.000 0.000
0.500 0.500 0.500
0.068 0.068 0.652
0.932 0.932 0.348
0.593 0.149 0.016
0.630 0.630 0.882
0.407 0.851 0.984
0.370 0.370 0.118
0.149 0.593 0.016
0.851 0.407 0.984

***

PBE+U FePCl2O, relaxed; E_tot = -16.26 eV/cell; ΔE to the lowest computed polymorph = 486 meV per atom; symmetry = P4/mmm, No. 123
1.0
4.720 0.000 0.000
0.000 4.720 0.000
0.000 0.000 4.967
Cl P Fe O
2 1 1 1
direct
0.000 0.500 0.000
0.500 0.000 0.000
0.000 0.000 0.500
0.000 0.000 0.000
0.500 0.500 0.500

***

PBE+U FePCl2O, relaxed; E_tot = -18.69 eV/cell; ΔE to the lowest computed polymorph = 0 meV per atom; symmetry = P4/mmm, No. 123
1.0
5.542 0.000 0.000
0.000 5.542 0.000
0.000 0.000 3.332
Cl O P Fe
2 1 1 1
direct
0.500 0.000 0.000
0.000 0.500 0.000
0.000 0.000 0.000
0.000 0.000 0.500
0.500 0.500 0.500

***

PBE+U FePb2Cl2O2, relaxed; E_tot = -34.12 eV/cell; symmetry = I4/mmm, No. 139
1.0
4.143 0.000 0.000
0.000 4.143 0.000
-2.071 -2.071 8.023
Cl Pb O Fe
2 2 2 1
direct
0.172 0.172 0.343
0.828 0.828 0.657
0.396 0.396 0.791
0.604 0.604 0.209
0.000 0.500 0.000
0.500 0.000 0.000
0.000 0.000 0.000

***

PBE+U FePb2Cl3O5, relaxed; E_tot = -99.41 eV/cell; symmetry = P2_1, No. 4
1.0
-3.096 -2.215 4.562
4.572 -5.230 0.564
7.443 4.872 7.418
Cl O Fe Pb
6 10 2 4
direct
0.227 0.152 0.915
0.112 0.054 0.294
0.725 0.367 0.085
0.727 0.848 0.085
0.612 0.946 0.706
0.225 0.633 0.915
0.273 0.681 0.501
0.531 0.543 0.335
0.587 0.039 0.347
0.505 0.456 0.669
0.005 0.544 0.331
0.273 0.319 0.501
0.773 0.319 0.499
0.031 0.457 0.665
0.773 0.681 0.499
0.087 0.961 0.653
0.021 0.500 0.500
0.521 0.500 0.500
0.269 0.701 0.702
0.770 0.805 0.297
0.270 0.195 0.703
0.769 0.299 0.298

***

PBE+U FePd2ClO, relaxed; E_tot = -22.52 eV/cell; symmetry = P4/mmm, No. 123
1.0
-2.202 -1.470 -2.951
4.732 -1.026 -3.020
0.247 -3.613 1.615
Cl Pd O Fe
1 2 1 1
direct
0.000 0.500 0.000
0.000 0.000 0.500
0.500 0.000 0.000
0.000 0.000 0.000
0.500 0.500 0.500

***

PBE+U PrFeClO2, relaxed; E_tot = -67.24 eV/cell; symmetry = P2_1/m, No. 11
1.0
-2.606 2.817 1.494
-4.488 -1.764 -4.501
-2.851 -5.340 5.097
Pr O Cl Fe
2 4 2 2
direct
0.250 0.799 0.390
0.750 0.201 0.610
0.750 0.971 0.380
0.250 0.955 0.123
0.750 0.045 0.877
0.250 0.029 0.620
0.750 0.477 0.306
0.250 0.523 0.694
0.750 0.031 0.130
0.250 0.969 0.870

***

PBE+U FePtCl2O, relaxed; E_tot = -20.14 eV/cell; symmetry = P4/mmm, No. 123
1.0
5.064 0.000 0.000
0.000 3.578 0.000
0.000 0.000 5.064
O Cl Pt Fe
1 2 1 1
direct
0.000 0.500 0.000
0.000 0.000 0.500
0.500 0.000 0.000
0.500 0.500 0.500
0.000 0.000 0.000

***

PBE+U FePt2ClO, relaxed; E_tot = -21.58 eV/cell; symmetry = P4/mmm, No. 123
1.0
-0.189 -1.500 4.318
-1.014 -3.479 -1.253
4.409 -1.204 -0.225
Pt Cl Fe O
2 1 1 1
direct
0.000 0.000 0.500
0.500 0.000 0.000
0.500 0.500 0.500
0.000 0.500 0.000
0.000 0.000 0.000

***

PBE+U FeSnClO2, relaxed; E_tot = -54.45 eV/cell; symmetry = P2_1/m, No. 11
1.0
-1.866 -3.579 -0.813
6.808 -2.970 -2.551
-2.685 -0.186 6.984
O Sn Cl Fe
4 2 2 2
direct
0.250 0.495 0.116
0.250 0.480 0.617
0.750 0.505 0.884
0.750 0.520 0.383
0.250 0.661 0.970
0.750 0.339 0.030
0.250 0.989 0.741
0.750 0.011 0.259
0.750 0.386 0.547
0.250 0.614 0.453

***

PBE+U Sr3Fe2Cl2O5, relaxed; E_tot = -71.42 eV/cell; symmetry = I4/mmm, No. 139
1.0
4.000 0.000 0.000
0.000 4.000 0.000
-2.000 -2.000 12.158
O Fe Sr Cl
5 2 3 2
direct
0.000 0.000 0.000
0.590 0.090 0.180
0.090 0.590 0.180
0.410 0.910 0.820
0.910 0.410 0.820
0.079 0.079 0.158
0.921 0.921 0.842
0.655 0.655 0.311
0.345 0.345 0.689
0.500 0.500 0.000
0.203 0.203 0.406
0.797 0.797 0.594

***

PBE+U Sr2FeClO3, relaxed; E_tot = -84.05 eV/cell; symmetry = P4/nmm, No. 129
1.0
3.983 0.000 0.000
0.000 3.983 0.000
0.000 0.000 14.513
Fe Cl O Sr
2 2 6 4
direct
0.500 0.000 0.794
0.000 0.500 0.206
0.000 0.500 0.422
0.500 0.000 0.578
0.500 0.500 0.229
0.500 0.000 0.926
0.000 0.000 0.771
0.000 0.000 0.229
0.000 0.500 0.074
0.500 0.500 0.771
0.500 0.000 0.095
0.000 0.500 0.905
0.500 0.000 0.342
0.000 0.500 0.658

***

PBE+U Sr3Fe2Cl2O4, relaxed; E_tot = -62.54 eV/cell; symmetry = I4/mmm, No. 139
1.0
4.069 0.000 0.000
0.000 4.069 0.000
-2.034 -2.034 11.161
Sr Cl O Fe
3 2 4 2
direct
0.151 0.151 0.301
0.000 0.000 0.000
0.849 0.849 0.699
0.299 0.299 0.597
0.701 0.701 0.403
0.424 0.924 0.848
0.924 0.424 0.848
0.076 0.576 0.152
0.576 0.076 0.152
0.434 0.434 0.868
0.566 0.566 0.132

***

PBE+U Sr2FeCl2O2, relaxed; E_tot = -37.68 eV/cell; symmetry = I4/mmm, No. 139
1.0
4.120 0.000 0.000
0.000 4.120 0.000
-2.060 -2.060 7.714
O Sr Cl Fe
2 2 2 1
direct
0.000 0.500 0.000
0.500 0.000 0.000
0.393 0.393 0.785
0.607 0.607 0.215
0.180 0.180 0.361
0.820 0.820 0.639
0.000 0.000 0.000

***

PBE+U FeTe2ClO5, relaxed; E_tot = -388.07 eV/cell; symmetry = P2_1/c, No. 14
1.0
-5.302 -2.238 3.430
8.103 -4.664 9.483
1.996 10.358 9.844
O Te Fe Cl
40 16 8 8
direct
0.215 0.115 0.479
0.729 0.786 0.729
0.242 0.011 0.246
0.987 0.039 0.897
0.513 0.039 0.397
0.271 0.214 0.271
0.904 0.236 0.904
0.785 0.885 0.521
0.258 0.011 0.746
0.270 0.346 0.449
0.758 0.989 0.754
0.076 0.898 0.638
0.200 0.909 0.450
0.013 0.961 0.103
0.229 0.214 0.771
0.096 0.764 0.096
0.487 0.961 0.603
0.486 0.190 0.618
0.950 0.782 0.396
0.404 0.764 0.596
0.986 0.810 0.882
0.924 0.102 0.362
0.424 0.898 0.138
0.576 0.102 0.862
0.770 0.654 0.051
0.715 0.885 0.021
0.550 0.782 0.896
0.450 0.218 0.104
0.285 0.115 0.979
0.596 0.236 0.404
0.300 0.909 0.950
0.514 0.810 0.382
0.730 0.654 0.551
0.014 0.190 0.118
0.050 0.218 0.604
0.230 0.346 0.949
0.771 0.786 0.229
0.700 0.091 0.050
0.742 0.989 0.254
0.800 0.091 0.550
0.810 0.113 0.785
0.690 0.113 0.285
0.294 0.286 0.637
0.524 0.626 0.643
0.483 0.799 0.023
0.024 0.374 0.857
0.476 0.374 0.357
0.794 0.714 0.863
0.310 0.887 0.715
0.983 0.201 0.477
0.976 0.626 0.143
0.190 0.887 0.215
0.517 0.201 0.977
0.017 0.799 0.523
0.706 0.714 0.363
0.206 0.286 0.137
0.498 0.880 0.481
0.707 0.936 0.145
0.293 0.064 0.855
0.502 0.120 0.519
0.207 0.064 0.355
0.998 0.120 0.019
0.002 0.880 0.981
0.793 0.936 0.645
0.784 0.437 0.950
0.873 0.390 0.217
0.216 0.563 0.050
0.127 0.610 0.783
0.627 0.390 0.717
0.284 0.563 0.550
0.373 0.610 0.283
0.716 0.437 0.450